(1)
A relaxed structure of InSi2Cl. Source: Alexandria via LeMat-Bulk, functional GGA-PBE.

* symmetry: Cm
* M_tot: 0.000 μB per atom
* volume: 87.1 Å³ per cell
* energy relative to the elements, uncorrected: 0.2270 eV/atom

a b c (Å): 6.2732 6.2732 5.0197
angles (deg): 71.38 71.38 27.82
Last column: nearest neighbours and their distance in Å.
Atoms (fractional coordinates):
In 0.7140 0.7140 0.7647  2 In 3.02, 6 Si 3.07-3.18, 1 Cl 3.37
Si 0.2991 0.2991 0.1922  2 Si 2.57
Cl 0.5085 0.5085 0.4511  2 Si 2.47
Si 0.9785 0.9785 0.0920  2 Cl 2.47, 2 Si 2.57

---

(2)
A relaxed structure of InSiCl6. Source: Alexandria via LeMat-Bulk, functional GGA-PBE.

* symmetry: C2/m
* M_tot: 0.000 μB per atom
* volume: 233.5 Å³ per cell
* energy relative to the elements, uncorrected: -0.8688 eV/atom

a b c (Å): 6.8903 6.8903 6.2949
angles (deg): 97.64 97.64 125.30
Last column: nearest neighbours and their distance in Å.
Atoms (fractional coordinates):
Cl 0.7215 0.7215 0.2821  1 Si 2.23
Cl 0.5713 0.8375 0.7079  1 Si 2.25
In 0.0000 0.0000 0.0000  6 Cl 2.75-2.84
Cl 0.1625 0.4287 0.2921  1 Si 2.25
Cl 0.8375 0.5713 0.7079  1 Si 2.25
Cl 0.4287 0.1625 0.2921  1 Si 2.25
Cl 0.2785 0.2785 0.7179  1 Si 2.23
Si 0.5000 0.5000 0.5000  6 Cl 2.23-2.25

---

(3)
A relaxed structure of In2SiCl. Source: Alexandria via LeMat-Bulk, functional GGA-PBE.

* symmetry: R-3m
* M_tot: 0.000 μB per atom
* volume: 95.0 Å³ per cell
* energy relative to the elements, uncorrected: 0.0509 eV/atom

a b c (Å): 9.1628 9.1628 9.1628
angles (deg): 22.05 22.05 22.05
Last column: nearest neighbours and their distance in Å.
Atoms (fractional coordinates):
In 0.9986 0.9986 0.9986  3 Si 2.99, 3 Cl 3.04
In 0.5014 0.5014 0.5014  3 Si 2.99, 3 Cl 3.04
Si 0.2500 0.2500 0.2500  6 In 2.99
Cl 0.7500 0.7500 0.7500  6 In 3.04

---

(4)
A relaxed structure of InSiCl2. Source: Alexandria via LeMat-Bulk, functional GGA-PBE.

* symmetry: R-3m
* M_tot: 0.000 μB per atom
* volume: 111.9 Å³ per cell
* energy relative to the elements, uncorrected: -0.1587 eV/atom

a b c (Å): 9.5310 9.5310 9.5310
angles (deg): 22.57 22.57 22.57
Last column: nearest neighbours and their distance in Å.
Atoms (fractional coordinates):
Cl 0.0282 0.0282 0.0282  3 Si 2.65
Cl 0.4718 0.4718 0.4718  3 Si 2.65
In 0.2500 0.2500 0.2500  6 In 3.73, 6 Cl 3.78
Si 0.7500 0.7500 0.7500  6 Cl 2.65

---

(5)
A relaxed structure of InSiCl2. Source: Alexandria via LeMat-Bulk, functional GGA-PBE.

* symmetry: I-42d
* M_tot: 0.000 μB per atom
* volume: 201.5 Å³ per cell
* energy relative to the elements, uncorrected: -0.0409 eV/atom

a b c (Å): 4.7106 4.7106 9.6719
angles (deg): 75.91 75.91 90.00
Last column: nearest neighbours and their distance in Å.
Atoms (fractional coordinates):
In 0.0000 0.0000 0.0000  4 Cl 2.87
Si 0.2500 0.7500 0.5000  4 Cl 2.76
In 0.7500 0.2500 0.5000  4 Cl 2.87
Cl 0.5981 0.1250 0.2500  2 Si 2.76, 2 In 2.87
Cl 0.1519 0.6250 0.2500  2 Si 2.76, 2 In 2.87
Cl 0.8750 0.8481 0.7500  2 Si 2.76, 2 In 2.87
Si 0.5000 0.5000 0.0000  4 Cl 2.76
Cl 0.3750 0.4019 0.7500  2 Si 2.76, 2 In 2.87

---

(6)
A relaxed structure of In2SiCl. Source: Alexandria via LeMat-Bulk, functional GGA-PBE.

* symmetry: F-43m
* M_tot: 0.000 μB per atom
* volume: 92.3 Å³ per cell
* energy relative to the elements, uncorrected: 0.2004 eV/atom

a b c (Å): 5.0735 5.0735 5.0735
angles (deg): 60.00 60.00 60.00
Last column: nearest neighbours and their distance in Å.
Atoms (fractional coordinates):
Si 0.7500 0.7500 0.7500  4 In 3.11, 4 Cl 3.11
Cl 0.5000 0.5000 0.5000  4 In 3.11, 4 Si 3.11
In 0.0000 0.0000 0.0000  4 In 3.11, 4 Si 3.11
In 0.2500 0.2500 0.2500  4 Cl 3.11, 4 In 3.11

---

(7)
A relaxed structure of InSi2Cl. Source: Alexandria via LeMat-Bulk, functional GGA-PBE.

* symmetry: I4/mmm
* M_tot: 0.000 μB per atom
* volume: 93.0 Å³ per cell
* energy relative to the elements, uncorrected: 0.3862 eV/atom

a b c (Å): 7.0162 7.0162 7.0162
angles (deg): 148.69 148.69 44.87
Last column: nearest neighbours and their distance in Å.
Atoms (fractional coordinates):
Si 0.5000 0.5000 0.0000  4 Si 2.68
Cl 0.2500 0.7500 0.5000  4 In 2.68
Si 0.0000 0.0000 0.0000  4 Si 2.68
In 0.7500 0.2500 0.5000  4 Cl 2.68

---

(8)
A relaxed structure of InSiCl2. Source: Alexandria via LeMat-Bulk, functional GGA-PBE.

* symmetry: C2/m
* M_tot: 0.000 μB per atom
* volume: 100.8 Å³ per cell
* energy relative to the elements, uncorrected: -0.1404 eV/atom

a b c (Å): 6.4640 6.4640 3.1688
angles (deg): 60.77 60.77 76.33
Last column: nearest neighbours and their distance in Å.
Atoms (fractional coordinates):
In 0.5000 0.0000 0.5000  4 Cl 2.82
Si 0.0000 0.5000 0.5000  4 Cl 2.82
Cl 0.0000 0.0000 0.0000  2 In 2.82, 2 Si 2.82
Cl 0.5000 0.5000 0.0000  2 Si 2.82, 2 In 2.82

---

(9)
A relaxed structure of InSiCl2. Source: Alexandria via LeMat-Bulk, functional GGA-PBE.

* symmetry: R-3m
* M_tot: 0.000 μB per atom
* volume: 97.2 Å³ per cell
* energy relative to the elements, uncorrected: -0.2135 eV/atom

a b c (Å): 9.5991 9.5991 9.5991
angles (deg): 20.75 20.75 20.75
Last column: nearest neighbours and their distance in Å.
Atoms (fractional coordinates):
Cl 0.9166 0.9166 0.9166  1 Si 2.35
Cl 0.0834 0.0834 0.0834  1 Si 2.35
Si 0.0000 0.0000 0.0000  2 Cl 2.35
In 0.5000 0.5000 0.5000  6 Cl 3.08

---

(10)
A relaxed structure of In2SiCl. Source: Alexandria via LeMat-Bulk, functional GGA-PBE.

* symmetry: Pmmm
* M_tot: 0.000 μB per atom
* volume: 100.8 Å³ per cell
* energy relative to the elements, uncorrected: -0.1099 eV/atom

a b c (Å): 3.8985 4.4117 5.8597
angles (deg): 90.00 90.00 90.00
Last column: nearest neighbours and their distance in Å.
Atoms (fractional coordinates):
In 0.0000 0.0000 0.8751  2 Si 2.93, 4 Cl 2.94
In 0.5000 0.5000 0.3750  2 Cl 2.93, 4 Si 2.94
Cl 0.5000 0.5000 0.8749  6 In 2.93-2.94
Si 0.0000 0.0000 0.3750  6 In 2.93-2.94

---

(11)
A relaxed structure of InSi2Cl. Source: Alexandria via LeMat-Bulk, functional GGA-PBE.

* symmetry: P4mm
* M_tot: 0.000 μB per atom
* volume: 87.8 Å³ per cell
* energy relative to the elements, uncorrected: 0.1937 eV/atom

a b c (Å): 3.8983 3.8977 5.7806
angles (deg): 90.00 90.00 90.00
Last column: nearest neighbours and their distance in Å.
Atoms (fractional coordinates):
Si 0.0000 0.0000 0.1373  1 Cl 2.35
Si 0.5000 0.5000 0.1489  4 Si 2.76, 2 In 2.77-3.01
Cl 0.0000 0.0000 0.5433  1 Si 2.35
In 0.5000 0.5000 0.6705  2 Si 2.77-3.01, 4 Cl 2.85

---

(12)
A relaxed structure of In2SiCl. Source: Alexandria via LeMat-Bulk, functional GGA-PBE.

* symmetry: Imm2
* M_tot: 0.000 μB per atom
* volume: 96.9 Å³ per cell
* energy relative to the elements, uncorrected: 0.0181 eV/atom

a b c (Å): 6.7678 6.7678 6.7678
angles (deg): 152.10 137.86 51.30
Last column: nearest neighbours and their distance in Å.
Atoms (fractional coordinates):
Si 0.5433 0.5433 0.0000  6 In 2.92-3.06, 2 Si 3.26
In 0.7418 0.2418 0.5000  2 Si 2.92, 4 Cl 2.93, 4 In 3.24-3.26
Cl 0.2433 0.7433 0.5000  4 In 2.93, 2 Cl 3.26
In 0.9716 0.9716 0.0000  4 Si 3.06, 4 In 3.24-3.26

---

(13)
A relaxed structure of In2SiCl. Source: Alexandria via LeMat-Bulk, functional GGA-PBE.

* symmetry: Cmmm
* M_tot: 0.000 μB per atom
* volume: 94.6 Å³ per cell
* energy relative to the elements, uncorrected: 0.0281 eV/atom

a b c (Å): 3.4591 3.4591 7.9534
angles (deg): 90.00 90.00 96.15
Last column: nearest neighbours and their distance in Å.
Atoms (fractional coordinates):
In 0.0000 0.0000 0.4778  4 Si 2.94-3.15, 2 Cl 3.17
In 0.0000 0.0000 0.0222  4 Si 2.94-3.15, 2 Cl 3.17
Cl 0.5000 0.5000 0.7500  8 In 3.17-3.36, 4 Cl 3.46
Si 0.5000 0.5000 0.2500  8 In 2.94-3.15

---

(14)
A relaxed structure of InSi2Cl. Source: Alexandria via LeMat-Bulk, functional GGA-PBE.

* symmetry: P4mm
* M_tot: 0.000 μB per atom
* volume: 104.4 Å³ per cell
* energy relative to the elements, uncorrected: 0.1070 eV/atom

a b c (Å): 3.4637 3.4637 8.7050
angles (deg): 90.00 90.00 90.00
Last column: nearest neighbours and their distance in Å.
Atoms (fractional coordinates):
Si 0.0000 0.0000 0.1131  4 Si 2.46
In 0.5000 0.5000 0.7398  4 Cl 2.92, 1 Si 3.06
Cl 0.0000 0.0000 0.5563  4 In 2.92
Si 0.5000 0.5000 0.0908  4 Si 2.46

---

(15)
A relaxed structure of InSiCl2. Source: Alexandria via LeMat-Bulk, functional GGA-PBE.

* symmetry: I4/mmm
* M_tot: 0.000 μB per atom
* volume: 92.2 Å³ per cell
* energy relative to the elements, uncorrected: 0.0354 eV/atom

a b c (Å): 5.3451 5.3451 5.3451
angles (deg): 127.96 127.96 76.68
Last column: nearest neighbours and their distance in Å.
Atoms (fractional coordinates):
Si 0.7500 0.2500 0.5000  8 Cl 3.14, 4 In 3.32
In 0.2500 0.7500 0.5000  8 Cl 3.14, 4 Si 3.32
Cl 0.0000 0.0000 0.0000  4 Si 3.14, 4 In 3.14, 4 Cl 3.32
Cl 0.5000 0.5000 0.0000  4 In 3.14, 4 Si 3.14, 4 Cl 3.32